# 1
Ba2Ti6N2O11 | PBE | optimized geometry

Lattice parameters (Å, degrees): 8.016 8.016 9.289 97.75 97.75 28.19
Fractional coordinates of all 21 atoms:
1 Ba 0.000 0.000 0.000
2 Ba 0.099 0.099 0.538
3 Ti 0.309 0.309 0.003
4 Ti 0.376 0.376 0.335
5 Ti 0.434 0.434 0.681
6 Ti 0.664 0.664 0.862
7 Ti 0.715 0.715 0.215
8 Ti 0.797 0.797 0.554
9 N 0.550 0.550 0.774
10 N 0.907 0.907 0.664
11 O 0.191 0.191 0.890
12 O 0.249 0.249 0.203
13 O 0.303 0.303 0.524
14 O 0.382 0.382 0.868
15 O 0.416 0.416 0.159
16 O 0.472 0.472 0.472
17 O 0.623 0.623 0.069
18 O 0.671 0.671 0.381
19 O 0.715 0.715 0.684
20 O 0.792 0.792 0.020
21 O 0.844 0.844 0.347

- E: -8.614 eV/atom
- Space-group type: Cm
- Distance to the lowest polymorph of the same formula: 18 kJ/mol of formula units


# 2
Pm8Tm2Tl | PBE | optimized geometry

Lattice parameters (Å, degrees): 9.468 9.468 8.059 105.19 105.19 30.81
Fractional coordinates of all 11 atoms:
1 Pm 0.046 0.046 0.225
2 Pm 0.137 0.137 0.680
3 Pm 0.320 0.320 0.591
4 Pm 0.409 0.409 0.056
5 Pm 0.591 0.591 0.944
6 Pm 0.680 0.680 0.409
7 Pm 0.863 0.863 0.320
8 Pm 0.954 0.954 0.775
9 Tm 0.225 0.225 0.133
10 Tm 0.775 0.775 0.867
11 Tl 0.500 0.500 0.500

- Energy of formation: -0.04 eV/atom
- E: -4.525 eV/atom
- Space-group type: C2/m
- Distance to the lowest polymorph of the same formula: 0 kJ/mol of formula units


# 3
CaMgH | PBE | optimized geometry

Lattice parameters (Å, degrees): 3.646 3.646 5.499 90.00 90.00 120.00
Fractional coordinates of all 3 atoms:
1 Ca 0.000 0.000 0.000
2 Mg 0.333 0.667 0.502
3 H 0.667 0.333 0.175

- E: -2.357 eV/atom
- Space-group type: P3m1
- Distance to the lowest polymorph of the same formula: 75 kJ/mol of formula units


# 4
UNiN | PBE | optimized geometry

Lattice parameters (Å, degrees): 3.752 3.752 3.754 90.00 90.00 120.00
Fractional coordinates of all 3 atoms:
1 U 0.000 0.000 0.000
2 Ni 0.667 0.333 0.500
3 N 0.333 0.667 0.000

- E: -8.737 eV/atom
- Space-group type: P-6m2


# 5
KLiCo | PBE | optimized geometry

Lattice parameters (Å, degrees): 3.848 4.634 19.967 90.00 90.00 90.00
Fractional coordinates of all 12 atoms:
1 K 0.000 0.000 0.000
2 K 0.000 0.000 0.321
3 K 0.500 0.500 0.500
4 K 0.500 0.500 0.821
5 Li 0.000 0.000 0.601
6 Li 0.000 0.500 0.679
7 Li 0.500 0.000 0.179
8 Li 0.500 0.500 0.101
9 Co 0.000 0.000 0.736
10 Co 0.000 0.500 0.184
11 Co 0.500 0.000 0.684
12 Co 0.500 0.500 0.236

- Energy of formation: 0.46 eV/atom
- E: -2.908 eV/atom
- Space-group type: Imm2
- Distance to the lowest polymorph of the same formula: 27 kJ/mol of formula units


# 6
MgTlBr2 | PBE | optimized geometry

Lattice parameters (Å, degrees): 3.815 3.815 9.293 90.00 90.00 90.00
Fractional coordinates of all 4 atoms:
1 Mg 0.000 0.000 0.000
2 Tl 0.500 0.500 0.482
3 Br 0.000 0.000 0.737
4 Br 0.500 0.500 0.086

- E: -2.556 eV/atom
- Space-group type: P4mm
- Distance to the lowest polymorph of the same formula: 97 kJ/mol of formula units


# 7
Lu2NiPb | PBE | optimized geometry

Lattice parameters (Å, degrees): 4.849 4.849 3.870 90.00 90.00 90.00
Fractional coordinates of all 4 atoms:
1 Lu 0.000 0.500 0.000
2 Lu 0.500 0.000 0.000
3 Ni 0.000 0.000 0.500
4 Pb 0.500 0.500 0.500

- Energy of formation: -0.28 eV/atom
- E: -4.909 eV/atom
- Space-group type: P4/mmm
- Distance to the lowest polymorph of the same formula: 59 kJ/mol of formula units


# 8
SrFeSbH2 | PBE | optimized geometry

Lattice parameters (Å, degrees): 4.042 4.042 7.115 90.00 90.00 90.00
Fractional coordinates of all 5 atoms:
1 Sr 0.000 0.000 0.000
2 Fe 0.500 0.500 0.500
3 Sb 0.000 0.000 0.500
4 H 0.000 0.500 0.000
5 H 0.500 0.000 0.000

- E: -3.634 eV/atom
- Space-group type: P4/mmm


# 9
Zn8Cu5Ir | PBE | optimized geometry

Lattice parameters (Å, degrees): 6.477 6.477 6.477 105.77 105.77 117.16
Fractional coordinates of all 14 atoms:
1 Zn 0.155 0.315 0.822
2 Zn 0.184 0.747 0.873
3 Zn 0.253 0.127 0.437
4 Zn 0.493 0.333 0.178
5 Zn 0.667 0.845 0.160
6 Zn 0.685 0.507 0.840
7 Zn 0.690 0.816 0.563
8 Zn 0.873 0.310 0.127
9 Cu 0.245 0.518 0.544
10 Cu 0.300 0.755 0.274
11 Cu 0.482 0.026 0.726
12 Cu 0.750 0.250 0.500
13 Cu 0.974 0.700 0.456
14 Ir 0.000 0.000 0.000

- Energy of formation: 0.03 eV/atom
- E: -2.798 eV/atom
- Space-group type: I-4


# 10
VTc2Ni | PBE | optimized geometry

Lattice parameters (Å, degrees): 3.743 3.743 3.791 90.00 90.00 90.00
Fractional coordinates of all 4 atoms:
1 V 0.000 0.000 0.000
2 Tc 0.000 0.500 0.500
3 Tc 0.500 0.000 0.500
4 Ni 0.500 0.500 0.000

- Energy of formation: -0.12 eV/atom
- E: -9.030 eV/atom
- Space-group type: P4/mmm
- Distance to the lowest polymorph of the same formula: 0 kJ/mol of formula units


# 11
CsIn2HgGe | PBE | optimized geometry

Lattice parameters (Å, degrees): 5.511 5.511 7.232 90.00 90.00 90.00
Fractional coordinates of all 5 atoms:
1 Cs 0.000 0.000 0.000
2 In 0.000 0.500 0.500
3 In 0.500 0.000 0.500
4 Hg 0.500 0.500 0.000
5 Ge 0.000 0.000 0.500

- Energy of formation: 0.16 eV/atom
- E: -2.086 eV/atom
- Space-group type: P4/mmm


# 12
CrSnI2 | PBE | optimized geometry

Lattice parameters (Å, degrees): 8.280 8.280 7.494 90.00 90.00 90.00
Fractional coordinates of all 16 atoms:
1 Cr 0.000 0.000 0.000
2 Cr 0.000 0.500 0.250
3 Cr 0.500 0.000 0.750
4 Cr 0.500 0.500 0.500
5 Sn 0.000 0.000 0.500
6 Sn 0.000 0.500 0.750
7 Sn 0.500 0.000 0.250
8 Sn 0.500 0.500 0.000
9 I 0.201 0.250 0.125
10 I 0.250 0.701 0.375
11 I 0.250 0.799 0.875
12 I 0.299 0.250 0.625
13 I 0.701 0.750 0.625
14 I 0.750 0.201 0.875
15 I 0.750 0.299 0.375
16 I 0.799 0.750 0.125

- E: -3.951 eV/atom
- Space-group type: I-42d
- Distance to the lowest polymorph of the same formula: 0 kJ/mol of formula units